Arrangement A

Below is a geometry-optimized Ga2Cu2Pt structure, with properties calculated at the PBE level.

Calculated values
Total magnetic moment: 0.000 μB/cell

Cell: 6.7952 6.7952 3.1112 Å, 90.00 90.00 90.00°
Fractional coordinates of all 10 atoms:
Ga  0.1517  0.3483  0.0000
Ga  0.3483  0.8483  0.0000
Ga  0.6517  0.1517  0.0000
Ga  0.8483  0.6517  0.0000
Cu  0.1425  0.6425  0.5000
Cu  0.3575  0.1425  0.5000
Cu  0.6425  0.8575  0.5000
Cu  0.8575  0.3575  0.5000
Pt  0.0000  0.0000  0.0000
Pt  0.5000  0.5000  0.0000


Arrangement B

Below is a geometry-optimized Ga2Cu2Pt structure, with properties calculated at the PBE level.

Calculated values
Total magnetic moment: 0.000 μB/cell

Cell: 4.5321 4.5321 6.0840 Å, 127.56 127.56 49.02°
Fractional coordinates of all 5 atoms:
Ga  0.0878  0.0878  0.2870
Ga  0.9122  0.9122  0.7130
Cu  0.3049  0.3049  0.9064
Cu  0.6951  0.6951  0.0936
Pt  0.5000  0.5000  0.5000


Quick ranking, most stable first: arrangement B, arrangement A.